# 1
Tl2HgIr: optimized geometry, PBE.

a b c (Å): 3.2871 5.0215 5.4008
angles (deg): 90.00 90.00 90.00
Sites, in units of the cell vectors:
1 Tl 0.0000 0.0000 0.0000
2 Tl 0.5000 0.0000 0.5000
3 Hg 0.0000 0.5000 0.5000
4 Ir 0.5000 0.5000 0.0000

Properties
Density in g/cm3: 14.93
Magnetization in μB/f.u.: 0.0
Formation enthalpy at 0 K in eV/atom: 0.58
Space-group type: Pmmm, No. 47
Polymorph energy (0 for the lowest one) in meV/atom: 337
Energy in eV/atom: -2.890

# 2
BeInPd4: optimized geometry, PBE.

a b c (Å): 7.8199 5.2791 4.6075
angles (deg): 90.00 95.31 90.00
Sites, in units of the cell vectors:
1 Be 0.0000 0.0000 0.0000
2 Be 0.0000 0.5000 0.5000
3 In 0.5000 0.0000 0.5000
4 In 0.5000 0.5000 0.0000
5 Pd 0.1474 0.1083 0.4508
6 Pd 0.1474 0.3917 0.9508
7 Pd 0.2955 0.5895 0.4725
8 Pd 0.2955 0.9105 0.9725
9 Pd 0.7045 0.0895 0.0275
10 Pd 0.7045 0.4105 0.5275
11 Pd 0.8526 0.6083 0.0492
12 Pd 0.8526 0.8917 0.5492

Properties
Density in g/cm3: 9.64
Magnetization in μB/f.u.: 0.0
Formation enthalpy at 0 K in eV/atom: -0.32
Space-group type: P2_1/c, No. 14
Energy in eV/atom: -4.862

# 3
Rb3Tb2O4: optimized geometry, PBE.

a b c (Å): 6.8971 6.8971 10.3425
angles (deg): 123.57 123.57 32.53
Sites, in units of the cell vectors:
1 Rb 0.0000 0.0000 0.0000
2 Rb 0.2000 0.2000 0.8171
3 Rb 0.8000 0.8000 0.1829
4 Tb 0.3856 0.3856 0.6259
5 Tb 0.6144 0.6144 0.3741
6 O 0.1923 0.1923 0.3601
7 O 0.4392 0.4392 0.1584
8 O 0.5608 0.5608 0.8416
9 O 0.8077 0.8077 0.6399

Properties
Density in g/cm3: 4.90
Magnetization in μB/f.u.: 0.2
Space-group type: C2/m, No. 12
Formation energy (no corrections) in eV/atom: -2.0965
Energy in eV/atom: -5.652

# 4
LiAgN2F: optimized geometry, PBE.

a b c (Å): 3.9990 3.9990 5.1281
angles (deg): 90.00 90.00 90.00
Sites, in units of the cell vectors:
1 Li 0.0000 0.0000 0.0000
2 Ag 0.5000 0.5000 0.5000
3 N 0.0000 0.5000 0.5000
4 N 0.5000 0.0000 0.5000
5 F 0.5000 0.5000 0.0000

Properties
Density in g/cm3: 3.28
Magnetization in μB/f.u.: 3.3
Space-group type: P4/mmm, No. 123
Polymorph energy (0 for the lowest one) in meV/atom: 0
Formation energy (no corrections) in eV/atom: 0.8615
Energy in eV/atom: -3.796

# 5
Fe2ReOs: optimized geometry, PBE.

a b c (Å): 5.2711 7.2328 2.6398
angles (deg): 90.00 90.00 90.00
Sites, in units of the cell vectors:
1 Fe 0.2500 0.2500 0.0000
2 Fe 0.2500 0.7500 0.0000
3 Fe 0.7500 0.2500 0.0000
4 Fe 0.7500 0.7500 0.0000
5 Re 0.0000 0.0000 0.5000
6 Re 0.5000 0.5000 0.5000
7 Os 0.0000 0.5000 0.5000
8 Os 0.5000 0.0000 0.5000

Properties
Density in g/cm3: 16.11
Magnetization in μB/f.u.: 0.0
Formation enthalpy at 0 K in eV/atom: 0.11
Space-group type: Cmmm, No. 65
Energy in eV/atom: -10.041

# 6
ThScRu: optimized geometry, PBE.

a b c (Å): 6.6898 6.6898 6.6898
angles (deg): 90.00 90.00 90.00
Sites, in units of the cell vectors:
1 Th 0.0000 0.0000 0.0000
2 Th 0.0000 0.5000 0.5000
3 Th 0.5000 0.0000 0.5000
4 Th 0.5000 0.5000 0.0000
5 Sc 0.0000 0.0000 0.5000
6 Sc 0.0000 0.5000 0.0000
7 Sc 0.5000 0.0000 0.0000
8 Sc 0.5000 0.5000 0.5000
9 Ru 0.2500 0.2500 0.7500
10 Ru 0.2500 0.7500 0.2500
11 Ru 0.7500 0.2500 0.2500
12 Ru 0.7500 0.7500 0.7500

Properties
Density in g/cm3: 8.39
Magnetization in μB/f.u.: 0.0
Formation enthalpy at 0 K in eV/atom: -0.28
Space-group type: F-43m, No. 216
Polymorph energy (0 for the lowest one) in meV/atom: 146
Energy in eV/atom: -7.960

# 7
Er5Sc4Ga4: optimized geometry, PBE.

a b c (Å): 8.5331 8.5331 8.5331
angles (deg): 94.17 94.17 148.72
Sites, in units of the cell vectors:
1 Er 0.0000 0.0000 0.0000
2 Er 0.3068 0.3861 0.6929
3 Er 0.3861 0.6932 0.0792
4 Er 0.6139 0.3068 0.9208
5 Er 0.6932 0.6139 0.3071
6 Sc 0.1005 0.5926 0.6931
7 Sc 0.4074 0.1005 0.5079
8 Sc 0.5926 0.8995 0.4921
9 Sc 0.8995 0.4074 0.3069
10 Ga 0.0835 0.2447 0.3282
11 Ga 0.2447 0.9165 0.1612
12 Ga 0.7553 0.0835 0.8388
13 Ga 0.9165 0.7553 0.6718

Properties
Density in g/cm3: 6.92
Magnetization in μB/f.u.: 0.0
Formation enthalpy at 0 K in eV/atom: -0.42
Space-group type: I4/m, No. 87
Energy in eV/atom: -5.053

# 8
LaNF2: optimized geometry, PBE.

a b c (Å): 4.1442 4.1442 10.6869
angles (deg): 90.00 90.00 120.00
Sites, in units of the cell vectors:
1 La 0.0000 0.0000 0.0000
2 La 0.3333 0.6667 0.6667
3 La 0.6667 0.3333 0.3333
4 N 0.0000 0.0000 0.5000
5 N 0.3333 0.6667 0.1667
6 N 0.6667 0.3333 0.8333
7 F 0.0000 0.0000 0.2386
8 F 0.0000 0.0000 0.7614
9 F 0.3333 0.6667 0.4281
10 F 0.3333 0.6667 0.9052
11 F 0.6667 0.3333 0.0948
12 F 0.6667 0.3333 0.5719

Properties
Density in g/cm3: 5.98
Magnetization in μB/f.u.: 2.0
Space-group type: R-3m, No. 166
Polymorph energy (0 for the lowest one) in meV/atom: 155
Formation energy (no corrections) in eV/atom: -1.9736
Energy in eV/atom: -6.222

Q: What is the magnetization in the eighth record?
A: 2.0 μB/f.u.

Q: What is the formula in the fourth record?
A: LiAgN2F